# 1
Entry from OQMD via LeMat-Bulk: a geometry-optimized TbSbPO structure (PBE-GGA).

total energy = -6.087 eV per atom
energy above the lowest structure with this stoichiometry = 0 meV/atom
magnetic moment = 0.0 μB/f.u.

The structure in CIF format:
```
data_TbSbPO
_chemical_formula_sum 'Tb2 Sb2 P2 O2'
_cell_length_a 4.0449
_cell_length_b 4.0449
_cell_length_c 9.9979
_cell_angle_alpha 90.00
_cell_angle_beta 90.00
_cell_angle_gamma 90.00
_space_group_name_H-M_alt 'P 4/n m m'
_space_group_IT_number 129
loop_
_space_group_symop_operation_xyz
'x,y,z'
'-x,-y,-z'
'-y+1/2,x,z'
'y+1/2,-x,-z'
'-x+1/2,-y+1/2,z'
'x+1/2,y+1/2,-z'
'y,-x+1/2,z'
'-y,x+1/2,-z'
'x+1/2,-y,-z'
'-x+1/2,y,z'
'-y,-x,-z'
'y,x,z'
'-x,y+1/2,-z'
'x,-y+1/2,z'
'y+1/2,x+1/2,-z'
'-y+1/2,-x+1/2,z'
loop_
_atom_site_label
_atom_site_fract_x
_atom_site_fract_y
_atom_site_fract_z
_atom_site_occupancy
Tb1 0.2500 0.2500 0.1052 1
Sb1 0.2500 0.7500 0.5000 1
P1 0.2500 0.2500 0.7276 1
O1 0.2500 0.7500 0.0000 1
```


# 2
Entry from OQMD via LeMat-Bulk: a geometry-optimized Cs2NaHgCl6 structure (PBE-GGA).

total energy = -2.726 eV per atom

The structure in CIF format:
```
data_Cs2NaHgCl6
_chemical_formula_sum 'Cs4 Na2 Hg2 Cl12'
_cell_length_a 7.5858
_cell_length_b 7.5667
_cell_length_c 13.0491
_cell_angle_alpha 90.00
_cell_angle_beta 124.91
_cell_angle_gamma 90.00
_space_group_name_H-M_alt 'P 1 21/c 1'
_space_group_IT_number 14
_space_group_name_Hall '-P 2ybc'
loop_
_atom_site_label
_atom_site_fract_x
_atom_site_fract_y
_atom_site_fract_z
_atom_site_occupancy
Cs1 0.2474 0.0118 0.2490 1
Na1 0.0000 0.0000 0.5000 1
Hg1 0.5000 0.0000 0.0000 1
Cl1 0.2280 0.2312 0.9839 1
Cl2 0.2677 0.7440 0.9997 1
Cl3 0.2753 0.5186 0.2565 1
```


# 3
Entry from OQMD via LeMat-Bulk: a geometry-optimized Er3Mg3ZnGa2 structure (PBE-GGA).

total energy = -3.287 eV per atom
magnetic moment = 0.0 μB/f.u.

The structure in CIF format:
```
data_Er3Mg3ZnGa2
_chemical_formula_sum 'Er3 Mg3 Zn1 Ga2'
_cell_length_a 7.2845
_cell_length_b 7.2845
_cell_length_c 4.3111
_cell_angle_alpha 90.00
_cell_angle_beta 90.00
_cell_angle_gamma 120.00
_space_group_name_H-M_alt 'P -6 2 m'
_space_group_IT_number 189
_space_group_name_Hall 'P -6 -2'
loop_
_atom_site_label
_atom_site_fract_x
_atom_site_fract_y
_atom_site_fract_z
_atom_site_occupancy
Er1 0.0000 0.4226 0.0000 1
Mg1 0.0000 0.7562 0.5000 1
Zn1 0.0000 0.0000 0.0000 1
Ga1 0.3333 0.6667 0.5000 1
```


# 4
Entry from OQMD via LeMat-Bulk: a geometry-optimized Pa structure (PBE-GGA).

total energy = -9.315 eV per atom
formation energy = 181 meV per atom
energy above the lowest structure with this stoichiometry = 181 meV/atom
magnetic moment = 0.0 μB/f.u.

The structure in CIF format:
```
data_Pa
_chemical_formula_sum 'Pa8'
_cell_length_a 5.3469
_cell_length_b 11.8072
_cell_length_c 3.1303
_cell_angle_alpha 90.00
_cell_angle_beta 90.00
_cell_angle_gamma 90.00
_space_group_name_H-M_alt 'C m c e'
_space_group_IT_number 64
_space_group_name_Hall '-C 2ac 2'
loop_
_atom_site_label
_atom_site_fract_x
_atom_site_fract_y
_atom_site_fract_z
_atom_site_occupancy
Pa1 0.0000 0.1266 0.0010 1
```


# 5
Entry from OQMD via LeMat-Bulk: a geometry-optimized Sc3NiC2 structure (PBE-GGA).

total energy = -7.206 eV per atom
energy above the lowest structure with this stoichiometry = 256 meV/atom
magnetic moment = 0.5 μB/f.u.

The structure in CIF format:
```
data_Sc3NiC2
_chemical_formula_sum 'Sc3 Ni1 C2'
_cell_length_a 6.0434
_cell_length_b 6.0434
_cell_length_c 3.0309
_cell_angle_alpha 90.00
_cell_angle_beta 90.00
_cell_angle_gamma 120.00
_space_group_name_H-M_alt 'P -3 m 1'
_space_group_IT_number 164
_space_group_name_Hall '-P 3 2"'
loop_
_atom_site_label
_atom_site_fract_x
_atom_site_fract_y
_atom_site_fract_z
_atom_site_occupancy
Sc1 0.0000 0.5000 0.0000 1
Ni1 0.0000 0.0000 0.5000 1
C1 0.3333 0.6667 0.5029 1
```


# 6
Entry from OQMD via LeMat-Bulk: a geometry-optimized Tm3Co2NiSn3 structure (PBE-GGA).

total energy = -5.571 eV per atom
magnetic moment = 0.1 μB/f.u.

The structure in CIF format:
```
data_Tm3Co2NiSn3
_chemical_formula_sum 'Tm3 Co2 Ni1 Sn3'
_cell_length_a 7.3251
_cell_length_b 7.3251
_cell_length_c 3.7292
_cell_angle_alpha 90.00
_cell_angle_beta 90.00
_cell_angle_gamma 120.00
_space_group_name_H-M_alt 'P -6 2 m'
_space_group_IT_number 189
_space_group_name_Hall 'P -6 -2'
loop_
_atom_site_label
_atom_site_fract_x
_atom_site_fract_y
_atom_site_fract_z
_atom_site_occupancy
Tm1 0.0000 0.4053 0.0000 1
Co1 0.3333 0.6667 0.5000 1
Ni1 0.0000 0.0000 0.0000 1
Sn1 0.0000 0.7362 0.5000 1
```


# 7
Entry from OQMD via LeMat-Bulk: a geometry-optimized PrAuSO structure (PBE-GGA).

total energy = -6.175 eV per atom
energy above the lowest structure with this stoichiometry = 0 meV/atom
magnetic moment = 0.0 μB/f.u.

The structure in CIF format:
```
data_PrAuSO
_chemical_formula_sum 'Pr4 Au4 S4 O4'
_cell_length_a 5.8057
_cell_length_b 9.1316
_cell_length_c 5.8096
_cell_angle_alpha 90.00
_cell_angle_beta 90.00
_cell_angle_gamma 90.00
_space_group_name_H-M_alt 'P c c a'
_space_group_IT_number 54
_space_group_name_Hall '-P 2a 2ac'
loop_
_atom_site_label
_atom_site_fract_x
_atom_site_fract_y
_atom_site_fract_z
_atom_site_occupancy
Pr1 0.0000 0.1307 0.2500 1
Au1 0.2500 0.5000 0.2450 1
S1 0.0000 0.2911 0.7500 1
O1 0.2500 0.0000 0.0006 1
```


# 8
Entry from OQMD via LeMat-Bulk: a geometry-optimized RbEr structure (PBE-GGA).

total energy = -1.710 eV per atom
magnetic moment = 1.0 μB/f.u.

The structure in CIF format:
```
data_RbEr
_chemical_formula_sum 'Rb2 Er2'
_cell_length_a 6.6631
_cell_length_b 6.6631
_cell_length_c 6.1786
_cell_angle_alpha 90.00
_cell_angle_beta 90.00
_cell_angle_gamma 120.00
_space_group_name_H-M_alt 'P 63/m m c'
_space_group_IT_number 194
_space_group_name_Hall '-P 6c 2c'
loop_
_atom_site_label
_atom_site_fract_x
_atom_site_fract_y
_atom_site_fract_z
_atom_site_occupancy
Rb1 0.3333 0.6667 0.2500 1
Er1 0.0000 0.0000 0.0000 1
```


# 9
Entry from OQMD via LeMat-Bulk: a geometry-optimized SrErNO structure (PBE-GGA).

total energy = -7.022 eV per atom
energy above the lowest structure with this stoichiometry = 0 meV/atom
magnetic moment = 0.0 μB/f.u.

The structure in CIF format:
```
data_SrErNO
_chemical_formula_sum 'Sr4 Er4 N4 O4'
_cell_length_a 7.0801
_cell_length_b 8.2448
_cell_length_c 4.9877
_cell_angle_alpha 90.00
_cell_angle_beta 90.00
_cell_angle_gamma 90.00
_space_group_name_H-M_alt 'P c a 21'
_space_group_IT_number 29
_space_group_name_Hall 'P 2c -2ac'
loop_
_atom_site_label
_atom_site_fract_x
_atom_site_fract_y
_atom_site_fract_z
_atom_site_occupancy
Sr1 0.0842 0.1327 0.0000 1
Er1 0.0875 0.6159 0.9955 1
N1 0.0942 0.6081 0.5119 1
O1 0.0631 0.1441 0.5024 1
```


# 10
Entry from OQMD via LeMat-Bulk: a geometry-optimized HoHfZn2Pd4 structure (PBE-GGA).

total energy = -5.439 eV per atom
formation energy = -718 meV per atom
magnetic moment = 0.0 μB/f.u.

The structure in CIF format:
```
data_HoHfZn2Pd4
_chemical_formula_sum 'Ho1 Hf1 Zn2 Pd4'
_cell_length_a 4.5878
_cell_length_b 4.5878
_cell_length_c 6.5318
_cell_angle_alpha 90.00
_cell_angle_beta 90.00
_cell_angle_gamma 90.00
_space_group_name_H-M_alt 'P 4/m m m'
_space_group_IT_number 123
_space_group_name_Hall '-P 4 2'
loop_
_atom_site_label
_atom_site_fract_x
_atom_site_fract_y
_atom_site_fract_z
_atom_site_occupancy
Ho1 0.0000 0.0000 0.0000 1
Hf1 0.5000 0.5000 0.5000 1
Zn1 0.0000 0.0000 0.5000 1
Zn2 0.5000 0.5000 0.0000 1
Pd1 0.0000 0.5000 0.2651 1
```


# 11
Entry from OQMD via LeMat-Bulk: a geometry-optimized LuGePt2 structure (PBE-GGA).

total energy = -5.966 eV per atom
magnetic moment = 0.0 μB/f.u.

The structure in CIF format:
```
data_LuGePt2
_chemical_formula_sum 'Lu4 Ge4 Pt8'
_cell_length_a 6.5895
_cell_length_b 6.5895
_cell_length_c 6.5895
_cell_angle_alpha 90.00
_cell_angle_beta 90.00
_cell_angle_gamma 90.00
_space_group_name_H-M_alt 'F -4 3 m'
_space_group_IT_number 216
_space_group_name_Hall 'F -4 2 3'
loop_
_atom_site_label
_atom_site_fract_x
_atom_site_fract_y
_atom_site_fract_z
_atom_site_occupancy
Lu1 0.0000 0.0000 0.0000 1
Ge1 0.2500 0.2500 0.7500 1
Pt1 0.0000 0.0000 0.5000 1
Pt2 0.2500 0.2500 0.2500 1
```


# 12
Entry from OQMD via LeMat-Bulk: a geometry-optimized Pr2Zn2O5 structure (PBE-GGA).

total energy = -5.722 eV per atom
energy above the lowest structure with this stoichiometry = 603 meV/atom
magnetic moment = 1.3 μB/f.u.

The structure in CIF format:
```
data_Pr2Zn2O5
_chemical_formula_sum 'Pr2 Zn2 O5'
_cell_length_a 4.0822
_cell_length_b 4.0822
_cell_length_c 8.9556
_cell_angle_alpha 90.00
_cell_angle_beta 90.00
_cell_angle_gamma 90.00
_space_group_name_H-M_alt 'P 4/m m m'
_space_group_IT_number 123
_space_group_name_Hall '-P 4 2'
loop_
_atom_site_label
_atom_site_fract_x
_atom_site_fract_y
_atom_site_fract_z
_atom_site_occupancy
Pr1 0.0000 0.0000 0.2410 1
Zn1 0.5000 0.5000 0.0000 1
Zn2 0.5000 0.5000 0.5000 1
O1 0.0000 0.0000 0.5000 1
O2 0.0000 0.5000 0.1308 1
```


# 13
Entry from OQMD via LeMat-Bulk: a geometry-optimized HfTe2Au structure (PBE-GGA).

total energy = -4.814 eV per atom
magnetic moment = 0.0 μB/f.u.

The structure in CIF format:
```
data_HfTe2Au
_chemical_formula_sum 'Hf4 Te8 Au4'
_cell_length_a 7.2098
_cell_length_b 7.2098
_cell_length_c 7.2098
_cell_angle_alpha 90.00
_cell_angle_beta 90.00
_cell_angle_gamma 90.00
_space_group_name_H-M_alt 'F -4 3 m'
_space_group_IT_number 216
_space_group_name_Hall 'F -4 2 3'
loop_
_atom_site_label
_atom_site_fract_x
_atom_site_fract_y
_atom_site_fract_z
_atom_site_occupancy
Hf1 0.0000 0.0000 0.0000 1
Te1 0.0000 0.0000 0.5000 1
Te2 0.2500 0.2500 0.7500 1
Au1 0.2500 0.2500 0.2500 1
```


# 14
Entry from OQMD via LeMat-Bulk: a geometry-optimized FeH6Pt structure (PBE-GGA).

total energy = -4.105 eV per atom
magnetic moment = 2.2 μB/f.u.

The structure in CIF format:
```
data_FeH6Pt
_chemical_formula_sum 'Fe3 H18 Pt3'
_cell_length_a 4.2336
_cell_length_b 4.2336
_cell_length_c 10.8257
_cell_angle_alpha 90.00
_cell_angle_beta 90.00
_cell_angle_gamma 120.00
_space_group_name_H-M_alt 'R -3'
_space_group_IT_number 148
_space_group_name_Hall '-R 3'
loop_
_atom_site_label
_atom_site_fract_x
_atom_site_fract_y
_atom_site_fract_z
_atom_site_occupancy
Fe1 0.0000 0.0000 0.0000 1
H1 0.0062 0.3462 0.9193 1
Pt1 0.0000 0.0000 0.5000 1
```


# 15
Entry from OQMD via LeMat-Bulk: a geometry-optimized RbGdFeSe3 structure (PBE-GGA).

total energy = -5.210 eV per atom
energy above the lowest structure with this stoichiometry = 70 meV/atom
magnetic moment = 4.0 μB/f.u.

The structure in CIF format:
```
data_RbGdFeSe3
_chemical_formula_sum 'Rb4 Gd4 Fe4 Se12'
_cell_length_a 10.3712
_cell_length_b 4.2173
_cell_length_c 15.4106
_cell_angle_alpha 90.00
_cell_angle_beta 90.00
_cell_angle_gamma 90.00
_space_group_name_H-M_alt 'P n m a'
_space_group_IT_number 62
_space_group_name_Hall '-P 2ac 2n'
loop_
_atom_site_label
_atom_site_fract_x
_atom_site_fract_y
_atom_site_fract_z
_atom_site_occupancy
Rb1 0.0326 0.2500 0.1699 1
Gd1 0.1609 0.7500 0.4357 1
Fe1 0.1546 0.2500 0.6276 1
Se1 0.0275 0.7500 0.6072 1
Se2 0.1860 0.7500 0.0122 1
Se3 0.2278 0.2500 0.7723 1
```


# 16
Entry from OQMD via LeMat-Bulk: a geometry-optimized ThTaHg structure (PBE-GGA).

total energy = -5.714 eV per atom
formation energy = 807 meV per atom
energy above the lowest structure with this stoichiometry = 0 meV/atom
magnetic moment = 0.2 μB/f.u.

The structure in CIF format:
```
data_ThTaHg
_chemical_formula_sum 'Th4 Ta4 Hg4'
_cell_length_a 6.9366
_cell_length_b 6.9366
_cell_length_c 6.9366
_cell_angle_alpha 90.00
_cell_angle_beta 90.00
_cell_angle_gamma 90.00
_space_group_name_H-M_alt 'F -4 3 m'
_space_group_IT_number 216
_space_group_name_Hall 'F -4 2 3'
loop_
_atom_site_label
_atom_site_fract_x
_atom_site_fract_y
_atom_site_fract_z
_atom_site_occupancy
Th1 0.0000 0.0000 0.0000 1
Ta1 0.0000 0.0000 0.5000 1
Hg1 0.2500 0.2500 0.7500 1
```


# 17
Entry from OQMD via LeMat-Bulk: a geometry-optimized GdDy3Ho2CoTe2 structure (PBE-GGA).

total energy = -5.224 eV per atom
magnetic moment = 0.0 μB/f.u.

The structure in CIF format:
```
data_GdDy3Ho2CoTe2
_chemical_formula_sum 'Gd2 Dy6 Ho4 Co2 Te4'
_cell_length_a 3.9078
_cell_length_b 14.4070
_cell_length_c 8.3929
_cell_angle_alpha 90.00
_cell_angle_beta 90.00
_cell_angle_gamma 90.00
_space_group_name_H-M_alt 'A m m 2'
_space_group_IT_number 38
_space_group_name_Hall 'A 2 -2'
loop_
_atom_site_label
_atom_site_fract_x
_atom_site_fract_y
_atom_site_fract_z
_atom_site_occupancy
Gd1 0.0000 0.0000 0.0000 1
Dy1 0.5000 0.0000 0.6416 1
Dy2 0.5000 0.1173 0.2855 1
Ho1 0.0000 0.1984 0.6039 1
Co1 0.0000 0.0000 0.4157 1
Te1 0.5000 0.1681 0.9043 1
```


# 18
Entry from OQMD via LeMat-Bulk: a geometry-optimized AcNbCo structure (PBE-GGA).

total energy = -6.864 eV per atom
formation energy = 238 meV per atom
energy above the lowest structure with this stoichiometry = 0 meV/atom
magnetic moment = 0.0 μB/f.u.

The structure in CIF format:
```
data_AcNbCo
_chemical_formula_sum 'Ac3 Nb3 Co3'
_cell_length_a 4.1466
_cell_length_b 4.1466
_cell_length_c 14.4263
_cell_angle_alpha 90.00
_cell_angle_beta 90.00
_cell_angle_gamma 120.00
_space_group_name_H-M_alt 'P -6 m 2'
_space_group_IT_number 187
_space_group_name_Hall 'P -6 2'
loop_
_atom_site_label
_atom_site_fract_x
_atom_site_fract_y
_atom_site_fract_z
_atom_site_occupancy
Ac1 0.0000 0.0000 0.0000 1
Ac2 0.0000 0.0000 0.3307 1
Nb1 0.3333 0.6667 0.5000 1
Nb2 0.6667 0.3333 0.1589 1
Co1 0.3333 0.6667 0.1766 1
Co2 0.6667 0.3333 0.5000 1
```


# 19
Entry from OQMD via LeMat-Bulk: a geometry-optimized Ba3Co2H12 structure (PBE-GGA).

total energy = -3.948 eV per atom
magnetic moment = 0.0 μB/f.u.

The structure in CIF format:
```
data_Ba3Co2H12
_chemical_formula_sum 'Ba3 Co2 H12'
_cell_length_a 5.2939
_cell_length_b 5.2939
_cell_length_c 8.4431
_cell_angle_alpha 90.00
_cell_angle_beta 90.00
_cell_angle_gamma 120.00
_space_group_name_H-M_alt 'P -3 m 1'
_space_group_IT_number 164
_space_group_name_Hall '-P 3 2"'
loop_
_atom_site_label
_atom_site_fract_x
_atom_site_fract_y
_atom_site_fract_z
_atom_site_occupancy
Ba1 0.0000 0.0000 0.0000 1
Ba2 0.3333 0.6667 0.6424 1
Co1 0.3333 0.6667 0.2377 1
H1 0.0688 0.5344 0.1272 1
H2 0.1911 0.3821 0.3394 1
```


# 20
Entry from OQMD via LeMat-Bulk: a geometry-optimized MgNb2Co3Bi3 structure (PBE-GGA).

total energy = -6.218 eV per atom
magnetic moment = 0.0 μB/f.u.

The structure in CIF format:
```
data_MgNb2Co3Bi3
_chemical_formula_sum 'Mg4 Nb8 Co12 Bi12'
_cell_length_a 7.4862
_cell_length_b 12.9595
_cell_length_c 7.4680
_cell_angle_alpha 90.00
_cell_angle_beta 109.50
_cell_angle_gamma 90.00
_space_group_name_H-M_alt 'C 1 c 1'
_space_group_IT_number 9
_space_group_name_Hall 'C -2yc'
loop_
_atom_site_label
_atom_site_fract_x
_atom_site_fract_y
_atom_site_fract_z
_atom_site_occupancy
Mg1 0.0000 0.0855 0.0000 1
Nb1 0.0000 0.2512 0.5067 1
Nb2 0.0070 0.4164 0.0064 1
Co1 0.3629 0.4058 0.1145 1
Co2 0.3716 0.2404 0.6376 1
Co3 0.3966 0.0836 0.1377 1
Bi1 0.2434 0.0781 0.7563 1
Bi2 0.2494 0.2466 0.2583 1
Bi3 0.2637 0.4190 0.7483 1
```